The following is a DFT calculation (SCAN) of a PBEsol-optimized structure of Hg5Te.

Output
Space group   P4/mmm, No. 123
D(E_F)   2.0 states/eV per cell
Spin magnetization   0.000 μB per formula unit
Total DFT energy (no corrections)   -377.915 eV/cell
Uncorrected formation energy   0.2 eV/f.u.
ΔE to the lowest computed polymorph   0.000 eV/f.u.

Cell: 3.0168 3.0168 16.8693 Å, 90.00 90.00 90.00°
Last column: nearest neighbours and their distance in Å.
Positions (direct):
Te1 0.5000 0.5000 0.0000  4 Te 3.02
Hg1 0.0000 0.0000 0.8196  4 Hg 3.02
Hg2 0.0000 0.0000 0.1804  4 Hg 3.02
Hg3 0.5000 0.5000 0.6592  4 Hg 3.02
Hg4 0.5000 0.5000 0.3408  4 Hg 3.02
Hg5 0.0000 0.0000 0.5000  4 Hg 3.02


The following is a DFT calculation (SCAN) of a PBEsol-optimized structure of Hg5Te.

Output
Space group   Cmmm, No. 65
D(E_F)   2.0 states/eV per cell
Spin magnetization   0.000 μB per formula unit
Total DFT energy (no corrections)   -377.821 eV/cell
Uncorrected formation energy   0.3 eV/f.u.
ΔE to the lowest computed polymorph   0.094 eV/f.u.

Cell: 4.2586 5.7162 6.8332 Å, 114.73 90.00 90.00°
Last column: nearest neighbours and their distance in Å.
Positions (direct):
Te1 0.0000 0.5000 0.0000  4 Hg 3.01
Hg1 0.5000 0.6719 0.3439  2 Hg 2.93, 2 Te 3.01
Hg2 0.0000 0.8341 0.6682  4 Hg 2.93-2.96
Hg3 0.5000 0.0000 0.0000  4 Hg 2.96
Hg4 0.0000 0.1659 0.3318  4 Hg 2.93-2.96
Hg5 0.5000 0.3281 0.6561  2 Hg 2.93, 2 Te 3.01


The following is a DFT calculation (SCAN) of a PBEsol-optimized structure of TiHgTe2.

Output
Space group   R-3m, No. 166
D(E_F)   1.2 states/eV per cell
Spin magnetization   0.000 μB per formula unit
Total DFT energy (no corrections)   -160.717 eV/cell
Uncorrected formation energy   -2.0 eV/f.u.

Cell: 3.6309 3.6309 10.4989 Å, 80.04 80.04 60.00°
Last column: nearest neighbours and their distance in Å.
Positions (direct):
Te1 0.8902 0.8902 0.3295  3 Ti 2.73
Te2 0.1098 0.1098 0.6705  3 Ti 2.73
Hg1 0.0000 0.0000 0.0000  2 Te 3.39, 6 Hg 3.63
Ti1 0.5000 0.5000 0.5000  6 Te 2.73


D(E_F) of number 2 (Hg5Te)? 2.0 states/eV per cell